Below is crystalline MoWSe at its relaxed geometry, with properties calculated at the GGA-PBE level.

a b c (Å): 4.2775 4.2775 4.2775
angles (deg): 60.00 60.00 60.00
Closest atoms and distances in Å follow each position.
Sites, in units of the cell vectors:
Mo (0.0000, 0.0000, 0.0000)  4 W 2.62, 4 Se 2.62
W (0.7500, 0.7500, 0.7500)  4 Mo 2.62
Se (0.2500, 0.2500, 0.2500)  4 Mo 2.62

Output
DOS at the Fermi energy = 1.5 states/eV/cell
Formation energy from raw total energies = 0.596 eV per atom
Distance to the lowest polymorph of the same formula = 289 meV/atom
Calculated total energy = -8.494 eV per atom
Space group = No. 216

***

Below is crystalline MoWSe at its relaxed geometry, with properties calculated at the GGA-PBE level.

a b c (Å): 6.9835 6.7512 2.9268
angles (deg): 82.18 73.29 24.53
Closest atoms and distances in Å follow each position.
Sites, in units of the cell vectors:
Mo (0.0000, 0.0000, 0.0000)  2 W 2.53
W (0.6466, 0.6466, 0.3534)  2 Mo 2.53, 2 Se 2.82
Se (0.3221, 0.3221, 0.6779)  2 W 2.82, 2 Mo 2.85, 4 Se 2.93

Output
DOS at the Fermi energy = 3.0 states/eV/cell
Formation energy from raw total energies = 0.518 eV per atom
Distance to the lowest polymorph of the same formula = 211 meV/atom
Calculated total energy = -8.572 eV per atom
Space group = No. 42

***

Below is crystalline Mo3WSe at its relaxed geometry, with properties calculated at the GGA-PBE level.

a b c (Å): 4.5286 4.5286 4.5286
angles (deg): 90.00 90.00 90.00
Closest atoms and distances in Å follow each position.
Sites, in units of the cell vectors:
Mo (0.0000, 0.0000, 0.5000)  2 Se 2.26
Mo (0.0000, 0.5000, 0.0000)  2 Se 2.26
Mo (0.5000, 0.0000, 0.0000)  2 Se 2.26
W (0.5000, 0.5000, 0.5000)  12 Mo 3.20
Se (0.0000, 0.0000, 0.0000)  6 Mo 2.26

Output
DOS at the Fermi energy = 4.4 states/eV/cell
Formation energy from raw total energies = 1.356 eV per atom
Distance to the lowest polymorph of the same formula = 0 meV/atom
Calculated total energy = -8.430 eV per atom
Space group = No. 221

***

Below is crystalline MoWSe at its relaxed geometry, with properties calculated at the GGA-PBE level.

a b c (Å): 4.6353 4.6353 4.6353
angles (deg): 141.66 126.22 67.96
Closest atoms and distances in Å follow each position.
Sites, in units of the cell vectors:
Mo (0.0000, 0.0000, 0.0000)  1 Se 2.53, 1 W 2.63
W (0.3427, 0.3427, 0.0000)  1 Se 2.52, 1 Mo 2.63
Se (0.6711, 0.6711, 0.0000)  1 W 2.52, 1 Mo 2.53

Output
DOS at the Fermi energy = 1.6 states/eV/cell
Formation energy from raw total energies = 0.461 eV per atom
Distance to the lowest polymorph of the same formula = 154 meV/atom
Calculated total energy = -8.629 eV per atom
Space group = No. 44

***

Below is crystalline MoW3Se at its relaxed geometry, with properties calculated at the GGA-PBE level.

a b c (Å): 4.5462 4.5462 4.5462
angles (deg): 90.00 90.00 90.00
Closest atoms and distances in Å follow each position.
Sites, in units of the cell vectors:
Mo (0.0000, 0.0000, 0.0000)  12 W 3.21
W (0.0000, 0.5000, 0.5000)  2 Se 2.27
W (0.5000, 0.0000, 0.5000)  2 Se 2.27
W (0.5000, 0.5000, 0.0000)  2 Se 2.27
Se (0.5000, 0.5000, 0.5000)  6 W 2.27

Output
DOS at the Fermi energy = 7.0 states/eV/cell
Formation energy from raw total energies = 1.718 eV per atom
Distance to the lowest polymorph of the same formula = 0 meV/atom
Calculated total energy = -8.917 eV per atom
Space group = No. 221

***

Below is crystalline MoWSe at its relaxed geometry, with properties calculated at the GGA-PBE level.

a b c (Å): 5.6147 5.6147 5.6147
angles (deg): 148.82 148.82 44.67
Closest atoms and distances in Å follow each position.
Sites, in units of the cell vectors:
Mo (0.0000, 0.0000, 0.0000)  4 Se 2.69, 4 W 2.86
W (0.6837, 0.6837, 0.0000)  4 Se 2.70, 4 Mo 2.86, 4 W 3.02
Se (0.3426, 0.3426, 0.0000)  4 Mo 2.69, 4 W 2.70

Output
DOS at the Fermi energy = 3.0 states/eV/cell
Formation energy from raw total energies = 0.307 eV per atom
Distance to the lowest polymorph of the same formula = 0 meV/atom
Calculated total energy = -8.783 eV per atom
Space group = No. 107

***

Below is crystalline MoW2Se5 at its relaxed geometry, with properties calculated at the GGA-PBE level.

a b c (Å): 6.9051 6.9051 5.7085
angles (deg): 110.57 110.57 57.30
Closest atoms and distances in Å follow each position.
Sites, in units of the cell vectors:
Mo (0.0000, 0.0000, 0.0000)  1 W 2.41, 4 Se 2.51-2.57
W (0.0609, 0.0609, 0.4566)  1 Mo 2.41, 3 Se 2.49-2.53
W (0.4620, 0.4620, 0.9275)  5 Se 2.37-2.56
Se (0.1643, 0.6470, 0.2011)  2 W 2.51-2.53, 1 Mo 2.57
Se (0.2807, 0.2807, 0.5545)  2 W 2.37-2.49
Se (0.3677, 0.8509, 0.8515)  1 Mo 2.51, 2 W 2.56-2.70
Se (0.6470, 0.1643, 0.2011)  2 W 2.51-2.53, 1 Mo 2.57
Se (0.8509, 0.3677, 0.8515)  1 Mo 2.51, 2 W 2.56-2.70

Output
DOS at the Fermi energy = 6.4 states/eV/cell
Formation energy from raw total energies = 0.114 eV per atom
Calculated total energy = -6.656 eV per atom
Space group = No. 8

***

Below is crystalline MoWSe3 at its relaxed geometry, with properties calculated at the GGA-PBE level.

a b c (Å): 4.9316 4.9316 4.9316
angles (deg): 90.00 90.00 90.00
Closest atoms and distances in Å follow each position.
Sites, in units of the cell vectors:
Mo (0.0000, 0.0000, 0.0000)  12 Se 3.49
W (0.5000, 0.5000, 0.5000)  6 Se 2.47
Se (0.0000, 0.5000, 0.5000)  2 W 2.47
Se (0.5000, 0.0000, 0.5000)  2 W 2.47
Se (0.5000, 0.5000, 0.0000)  2 W 2.47

Output
DOS at the Fermi energy = 4.2 states/eV/cell
Formation energy from raw total energies = 0.910 eV per atom
Distance to the lowest polymorph of the same formula = 767 meV/atom
Calculated total energy = -5.937 eV per atom
Space group = No. 221

***

Below is crystalline Y2MoSe at its relaxed geometry, with properties calculated at the GGA-PBE level.

a b c (Å): 4.9182 4.9182 4.9182
angles (deg): 60.00 60.00 60.00
Closest atoms and distances in Å follow each position.
Sites, in units of the cell vectors:
Y (0.0000, 0.0000, 0.0000)  4 Se 3.01, 4 Y 3.01
Y (0.2500, 0.2500, 0.2500)  4 Mo 3.01, 4 Y 3.01
Mo (0.5000, 0.5000, 0.5000)  4 Y 3.01, 4 Se 3.01
Se (0.7500, 0.7500, 0.7500)  4 Mo 3.01, 4 Y 3.01

Output
DOS at the Fermi energy = 7.2 states/eV/cell
Formation energy from raw total energies = 0.219 eV per atom
Calculated total energy = -6.592 eV per atom
Space group = No. 216

***

Below is crystalline Y2MoSe at its relaxed geometry, with properties calculated at the GGA-PBE level.

a b c (Å): 6.0764 6.0764 6.0764
angles (deg): 140.06 140.06 57.76
Closest atoms and distances in Å follow each position.
Sites, in units of the cell vectors:
Y (0.0000, 0.0000, 0.0000)  4 Se 2.93
Y (0.7500, 0.2500, 0.5000)  4 Mo 2.93
Mo (0.2500, 0.7500, 0.5000)  4 Y 2.93
Se (0.5000, 0.5000, 0.0000)  4 Y 2.93

Output
DOS at the Fermi energy = 3.6 states/eV/cell
Formation energy from raw total energies = -0.101 eV per atom
Calculated total energy = -6.912 eV per atom
Space group = No. 119

***

Below is crystalline YMoSe2 at its relaxed geometry, with properties calculated at the GGA-PBE level.

a b c (Å): 6.5171 6.5171 6.5171
angles (deg): 145.12 145.12 50.16
Closest atoms and distances in Å follow each position.
Sites, in units of the cell vectors:
Y (0.0000, 0.0000, 0.0000)  4 Se 2.76
Mo (0.2500, 0.7500, 0.5000)  4 Se 2.76
Se (0.5000, 0.5000, 0.0000)  4 Y 2.76
Se (0.7500, 0.2500, 0.5000)  4 Mo 2.76

Output
DOS at the Fermi energy = 3.2 states/eV/cell
Formation energy from raw total energies = -0.330 eV per atom
Distance to the lowest polymorph of the same formula = 396 meV/atom
Calculated total energy = -6.396 eV per atom
Space group = No. 119

***

Below is crystalline YMoSe2 at its relaxed geometry, with properties calculated at the GGA-PBE level.

a b c (Å): 4.8369 4.8369 4.8369
angles (deg): 60.00 60.00 60.00
Closest atoms and distances in Å follow each position.
Sites, in units of the cell vectors:
Y (0.0000, 0.0000, 0.0000)  4 Mo 2.96, 4 Se 2.96
Mo (0.7500, 0.7500, 0.7500)  4 Se 2.96, 4 Y 2.96
Se (0.2500, 0.2500, 0.2500)  4 Se 2.96, 4 Y 2.96
Se (0.5000, 0.5000, 0.5000)  4 Mo 2.96, 4 Se 2.96

Output
DOS at the Fermi energy = 6.4 states/eV/cell
Formation energy from raw total energies = 0.183 eV per atom
Distance to the lowest polymorph of the same formula = 910 meV/atom
Calculated total energy = -5.883 eV per atom
Space group = No. 216

***

Below is crystalline Y2MoSe at its relaxed geometry, with properties calculated at the GGA-PBE level.

a b c (Å): 8.4627 8.4627 8.4627
angles (deg): 25.10 25.10 25.10
Closest atoms and distances in Å follow each position.
Sites, in units of the cell vectors:
Y (0.2470, 0.2470, 0.2470)  3 Se 2.90, 3 Mo 3.00
Y (0.7530, 0.7530, 0.7530)  3 Se 2.90, 3 Mo 3.00
Mo (0.0000, 0.0000, 0.0000)  6 Y 3.00
Se (0.5000, 0.5000, 0.5000)  6 Y 2.90

Output
DOS at the Fermi energy = 5.4 states/eV/cell
Formation energy from raw total energies = -0.388 eV per atom
Calculated total energy = -7.199 eV per atom
Space group = No. 166

***

Below is crystalline YMoSe2 at its relaxed geometry, with properties calculated at the GGA-PBE level.

a b c (Å): 5.9366 5.9366 5.9366
angles (deg): 41.10 41.10 41.10
Closest atoms and distances in Å follow each position.
Sites, in units of the cell vectors:
Y (0.0000, 0.0000, 0.0000)  6 Se 2.88
Mo (0.5000, 0.5000, 0.5000)  6 Se 2.66
Se (0.2358, 0.2358, 0.2358)  3 Mo 2.66, 3 Y 2.88
Se (0.7642, 0.7642, 0.7642)  3 Mo 2.66, 3 Y 2.88

Output
DOS at the Fermi energy = 2.6 states/eV/cell
Formation energy from raw total energies = -0.727 eV per atom
Distance to the lowest polymorph of the same formula = 0 meV/atom
Calculated total energy = -6.793 eV per atom
Space group = No. 166

***

Below is crystalline YMoSe2 at its relaxed geometry, with properties calculated at the GGA-PBE level.

a b c (Å): 3.6741 3.6741 6.1798
angles (deg): 90.00 90.00 90.00
Closest atoms and distances in Å follow each position.
Sites, in units of the cell vectors:
Y (0.0000, 0.0000, 0.0000)  5 Se 2.75-2.87
Mo (0.5000, 0.5000, 0.3202)  5 Se 2.75-2.87
Se (0.0000, 0.0000, 0.4649)  4 Mo 2.75, 1 Y 2.87
Se (0.5000, 0.5000, 0.8561)  4 Y 2.75, 1 Mo 2.87

Output
DOS at the Fermi energy = 2.2 states/eV/cell
Formation energy from raw total energies = -0.693 eV per atom
Distance to the lowest polymorph of the same formula = 34 meV/atom
Calculated total energy = -6.759 eV per atom
Space group = No. 99